Density functional theory data (PBE-GGA) for an optimized crystal structure of SiAsP2.

a = 4.438 Å, b = 4.438 Å, c = 4.438 Å
α = 60.00°, β = 60.00°, γ = 60.00°
Atoms (fractional coordinates):
P 0.250 0.250 0.250
P 0.750 0.750 0.750
As 0.500 0.500 0.500
Si 0.000 0.000 0.000

## Properties
* relative energy among the computed polymorphs: 507 meV/atom
* space group: No. 225
* E_tot: -18.460 eV/cell
* crystal system: cubic
* ΔE_f (raw): 2.4 eV per formula unit